Entry 1
Entry from Alexandria via LeMat-Bulk: crystalline CsSb2TeRh at its relaxed geometry (PBE-GGA).

The calculation puts the mass density at 6.2 Mg/m³. Its space group is P4/mmm (123).

Cell: 5.174 5.174 6.058 Å, 90.00 90.00 90.00°
Atoms (fractional coordinates):
Cs 0.000 0.000 0.000
Sb 0.000 0.500 0.500
Sb 0.500 0.000 0.500
Te 0.500 0.500 0.000
Rh 0.500 0.500 0.500

Entry 2
Entry from Alexandria via LeMat-Bulk: crystalline CsSb2TeRh at its relaxed geometry (PBE-GGA).

The calculation puts the mass density at 4.3 Mg/m³. Its space group is P4/mmm (123).

Cell: 6.145 6.145 6.257 Å, 90.00 90.00 90.00°
Atoms (fractional coordinates):
Cs 0.000 0.000 0.000
Sb 0.000 0.500 0.000
Sb 0.500 0.000 0.000
Te 0.000 0.000 0.500
Rh 0.500 0.500 0.500

Going by the computed energies, the most stable comes first: entry 1, entry 2.

Entry 1
Entry from Alexandria via LeMat-Bulk: crystalline CsSbTe2Rh at its relaxed geometry (PBE-GGA).

The calculation puts the mass density at 4.0 Mg/m³. Its space group is P4/mmm (123).

Cell: 6.357 6.357 6.253 Å, 90.00 90.00 90.00°
Atoms (fractional coordinates):
Cs 0.000 0.000 0.000
Sb 0.000 0.000 0.500
Te 0.000 0.500 0.000
Te 0.500 0.000 0.000
Rh 0.500 0.500 0.500

Entry 2
Entry from Alexandria via LeMat-Bulk: crystalline CsSbTe2Rh at its relaxed geometry (PBE-GGA).

The calculation puts the mass density at 6.3 Mg/m³. Its space group is P4/mmm (123).

Cell: 5.674 5.674 5.035 Å, 90.00 90.00 90.00°
Atoms (fractional coordinates):
Cs 0.000 0.000 0.000
Sb 0.500 0.500 0.000
Te 0.000 0.500 0.500
Te 0.500 0.000 0.500
Rh 0.500 0.500 0.500

Going by the computed energies, the most stable comes first: entry 2, entry 1.